## a
InSbSe4: optimized geometry, GGA-PBE.

M_tot in μB/cell: 0.00

Lattice parameters (Å, degrees): 6.5803 3.8461 6.7579 90.00 91.13 90.00
Last column: nearest neighbours and their distance in Å.
Element x y z (fractional)
In  0.0000  0.0000  0.0000  6 Se 2.76-2.82
Sb  0.0000  0.5000  0.5000  6 Se 2.71-2.74
Se  0.2421  0.5000  0.1804  1 Sb 2.71, 2 In 2.76
Se  0.2475  0.0000  0.6646  2 Sb 2.74, 1 In 2.82
Se  0.7525  0.0000  0.3354  2 Sb 2.74, 1 In 2.82
Se  0.7579  0.5000  0.8196  1 Sb 2.71, 2 In 2.76

## b
InSbSe4: optimized geometry, GGA-PBE.

M_tot in μB/cell: 0.00

Lattice parameters (Å, degrees): 5.8679 5.8679 5.8679 60.00 60.00 60.00
Last column: nearest neighbours and their distance in Å.
Element x y z (fractional)
In  0.0000  0.0000  0.0000  12 Se 3.44, 4 Sb 3.59
Sb  0.7500  0.7500  0.7500  12 Se 3.44, 4 In 3.59
Se  0.3750  0.3750  0.3750  6 Se 2.93
Se  0.3750  0.3750  0.8751  6 Se 2.93
Se  0.3750  0.8751  0.3750  6 Se 2.93
Se  0.8751  0.3750  0.3750  6 Se 2.93

Of them, b has the lowest stability.

## a
InSb3Se: optimized geometry, GGA-PBE.

M_tot in μB/cell: 0.00

Lattice parameters (Å, degrees): 5.5809 5.5809 5.5809 90.00 90.00 90.00
Last column: nearest neighbours and their distance in Å.
Element x y z (fractional)
In  0.0000  0.0000  0.0000  6 Sb 2.79
Sb  0.0000  0.0000  0.5000  2 In 2.79
Sb  0.0000  0.5000  0.0000  2 In 2.79
Sb  0.5000  0.0000  0.0000  2 In 2.79
Se  0.5000  0.5000  0.5000  12 Sb 3.95

## b
InSb3Se: optimized geometry, GGA-PBE.

M_tot in μB/cell: 0.00

Lattice parameters (Å, degrees): 5.4736 5.4736 5.4736 90.00 90.00 90.00
Last column: nearest neighbours and their distance in Å.
Element x y z (fractional)
In  0.0000  0.0000  0.0000  12 Sb 3.87
Sb  0.0000  0.5000  0.5000  2 Se 2.74
Sb  0.5000  0.0000  0.5000  2 Se 2.74
Sb  0.5000  0.5000  0.0000  2 Se 2.74
Se  0.5000  0.5000  0.5000  6 Sb 2.74

Of them, a has the lowest stability.

## a
InSbTe2Se: optimized geometry, GGA-PBE.

M_tot in μB/cell: 0.00

Lattice parameters (Å, degrees): 5.5782 5.5782 5.7076 90.00 90.00 90.00
Last column: nearest neighbours and their distance in Å.
Element x y z (fractional)
In  0.0000  0.0000  0.0000  4 Te 2.79, 2 Sb 2.85
Sb  0.0000  0.0000  0.5000  2 In 2.85
Te  0.0000  0.5000  0.0000  2 In 2.79
Te  0.5000  0.0000  0.0000  2 In 2.79
Se  0.5000  0.5000  0.5000  4 Sb 3.94, 8 Te 3.99

## b
InSbTe2Se: optimized geometry, GGA-PBE.

M_tot in μB/cell: 0.55

Lattice parameters (Å, degrees): 5.5494 5.5494 5.4971 90.00 90.00 90.00
Last column: nearest neighbours and their distance in Å.
Element x y z (fractional)
In  0.0000  0.0000  0.0000  8 Te 3.91, 4 Sb 3.92
Sb  0.5000  0.5000  0.0000  2 Se 2.75
Te  0.0000  0.5000  0.5000  2 Se 2.77
Te  0.5000  0.0000  0.5000  2 Se 2.77
Se  0.5000  0.5000  0.5000  2 Sb 2.75, 4 Te 2.77

Of them, a has the lowest stability.

## a
InSi2Sb2: optimized geometry, GGA-PBE.

M_tot in μB/cell: 0.00

Lattice parameters (Å, degrees): 7.8951 7.8951 3.7100 90.00 90.00 90.00
Last column: nearest neighbours and their distance in Å.
Element x y z (fractional)
In  0.0000  0.0000  0.0000  4 Si 3.16, 8 Sb 3.47
In  0.5000  0.5000  0.0000  4 Si 3.16, 8 Sb 3.47
Si  0.1166  0.3834  0.0000  1 Si 2.60
Si  0.3834  0.8834  0.0000  1 Si 2.60
Si  0.6166  0.1166  0.0000  1 Si 2.60
Si  0.8834  0.6166  0.0000  1 Si 2.60
Sb  0.1679  0.6679  0.5000  6 Si 2.94-3.04
Sb  0.3321  0.1679  0.5000  6 Si 2.94-3.04
Sb  0.6679  0.8321  0.5000  6 Si 2.94-3.04
Sb  0.8321  0.3321  0.5000  6 Si 2.94-3.04

## b
InSi2Sb2: optimized geometry, GGA-PBE.

M_tot in μB/cell: 0.00

Lattice parameters (Å, degrees): 5.2579 5.2579 8.6895 90.00 90.00 90.00
Last column: nearest neighbours and their distance in Å.
Element x y z (fractional)
In  0.0000  0.0000  0.0000  2 Si 3.13, 8 Sb 3.41
In  0.5000  0.5000  0.5000  2 Si 3.13, 8 Sb 3.41
Si  0.0000  0.0000  0.3604  1 Si 2.43
Si  0.0000  0.0000  0.6396  1 Si 2.43
Si  0.5000  0.5000  0.1396  1 Si 2.43
Si  0.5000  0.5000  0.8604  1 Si 2.43
Sb  0.0000  0.5000  0.2500  4 Si 2.80
Sb  0.0000  0.5000  0.7500  4 Si 2.80
Sb  0.5000  0.0000  0.2500  4 Si 2.80
Sb  0.5000  0.0000  0.7500  4 Si 2.80

Of them, a has the lowest stability.